Below is an optimized crystal structure of Sc2ReSb, with properties calculated at the PBE level.

Energy relative to the elements, uncorrected ... -62 kJ/mol of formula units
Electronic total energy ... -7.468 eV per atom

a = 9.1901 Å, b = 9.1901 Å, c = 9.1901 Å
α = 20.47°, β = 20.47°, γ = 20.47°
With the nearest neighbours (Å) after each atom.
Fractional coordinates of all 4 atoms:
Sc 0.2394 0.2394 0.2394  3 Re 2.72
Sc 0.7606 0.7606 0.7606  3 Re 2.72
Re 0.5000 0.5000 0.5000  6 Sc 2.72
Sb 0.0000 0.0000 0.0000  6 Sc 3.16, 6 Sb 3.27